Compound: HoScPt2
Source: the Alexandria database
Functional: PBE-GGA
Structure: optimized geometry

Results
- Crystal system: orthorhombic
- Formation energy from the elements: -1.2286 eV/atom
- Distance to the lowest polymorph of the same formula: 0.16 kJ/mol of atoms
- Total energy: -27.9 eV per formula unit

Cell: 3.6415 4.3873 5.4566 Å, 90.00 109.56 90.00°
Last column: nearest neighbours and their distance in Å.
Sites, in units of the cell vectors:
Ho (0.7225, 0.0000, 0.9839)  7 Pt 2.79-2.98
Sc (0.4448, 0.5000, 0.4284)  7 Pt 2.82-2.95
Pt (0.1707, 0.5000, 0.8801)  3 Sc 2.82-2.95, 2 Pt 2.85, 4 Ho 2.90
Pt (0.9930, 0.0000, 0.5257)  3 Ho 2.79-2.98, 2 Pt 2.85, 4 Sc 2.89-2.90

---

Compound: K2NaInCl4
Source: the Alexandria database
Functional: PBE-GGA
Structure: optimized geometry

Results
- Crystal system: monoclinic
- Uncorrected formation energy: -1.6065 eV per atom
- Total energy: -26.5 eV per formula unit

Cell: 4.4219 7.6003 7.7173 Å, 70.74 90.00 90.00°
Last column: nearest neighbours and their distance in Å.
Sites, in units of the cell vectors:
K (0.0000, 0.0000, 0.0000)  6 Cl 3.23-3.28
K (0.5000, 0.0000, 0.5000)  6 Cl 3.10
Na (0.0000, 0.5000, 0.5000)  6 Cl 2.97-3.03
In (0.5000, 0.5000, 0.0000)  6 Cl 3.15-3.17
Cl (0.0000, 0.7424, 0.7330)  1 Na 2.97, 3 K 3.10-3.28, 2 In 3.17
Cl (0.0000, 0.2576, 0.2670)  1 Na 2.97, 3 K 3.10-3.28, 2 In 3.17
Cl (0.5000, 0.7356, 0.2681)  2 Na 3.03, 3 K 3.10-3.23, 1 In 3.15
Cl (0.5000, 0.2644, 0.7319)  2 Na 3.03, 3 K 3.10-3.23, 1 In 3.15

---

Compound: La2Pm3Y6Pu
Source: the Alexandria database
Functional: PBE-GGA
Structure: optimized geometry

Results
- Crystal system: monoclinic
- Formation energy from the elements: 0.0426 eV/atom
- Total energy: -76.7 eV per formula unit

Cell: 6.2551 6.2551 11.8592 Å, 95.06 95.06 120.05°
Last column: nearest neighbours and their distance in Å.
Sites, in units of the cell vectors:
La (0.3334, 0.6666, 0.0000)  6 Y 3.59, 3 Pu 3.61, 3 La 3.61
La (0.6666, 0.3334, 0.0000)  6 Y 3.59, 3 Pu 3.61, 3 La 3.61
Pm (0.1670, 0.8330, 0.5000)  6 Y 3.58-3.61, 6 Pm 3.61-3.62
Pm (0.8330, 0.1670, 0.5000)  6 Y 3.58-3.61, 6 Pm 3.61-3.62
Pm (0.5000, 0.5000, 0.5000)  6 Y 3.58-3.61, 6 Pm 3.61
Y (0.9173, 0.5888, 0.7506)  6 Y 3.56-3.64, 1 Pu 3.56, 3 Pm 3.58-3.61, 2 La 3.59
Y (0.7543, 0.7543, 0.2496)  6 Y 3.56-3.64, 1 Pu 3.57, 3 Pm 3.58-3.61, 2 La 3.59
Y (0.0827, 0.4112, 0.2494)  6 Y 3.56-3.64, 1 Pu 3.56, 3 Pm 3.58-3.61, 2 La 3.59
Y (0.5888, 0.9173, 0.7506)  6 Y 3.56-3.64, 1 Pu 3.56, 3 Pm 3.58-3.61, 2 La 3.59
Y (0.2457, 0.2457, 0.7504)  6 Y 3.56-3.64, 1 Pu 3.57, 3 Pm 3.58-3.61, 2 La 3.59
Y (0.4112, 0.0827, 0.2494)  6 Y 3.56-3.64, 1 Pu 3.56, 3 Pm 3.58-3.61, 2 La 3.59
Pu (0.0000, 0.0000, 0.0000)  6 Y 3.56-3.57, 6 La 3.61

---

Compound: LiTh2Te3
Source: the Alexandria database
Functional: PBE-GGA
Structure: optimized geometry

Results
- Crystal system: monoclinic
- Uncorrected formation energy: -1.0744 eV per atom
- Distance to the lowest polymorph of the same formula: 0.27 kJ/mol of atoms
- Total energy: -32.6 eV per formula unit

Cell: 6.2490 8.8902 13.0757 Å, 90.00 90.00 90.04°
Last column: nearest neighbours and their distance in Å.
Sites, in units of the cell vectors:
Li (0.2487, 0.8941, 0.0955)  6 Te 2.96-3.14
Li (0.2487, 0.3941, 0.4045)  6 Te 2.96-3.14
Li (0.7513, 0.6059, 0.5955)  6 Te 2.96-3.14
Li (0.7513, 0.1059, 0.9045)  6 Te 2.96-3.14
Th (0.2494, 0.8880, 0.7340)  6 Te 3.14-3.21
Th (0.2494, 0.3880, 0.7660)  6 Te 3.14-3.21
Th (0.2507, 0.8896, 0.4263)  6 Te 3.14-3.22
Th (0.2507, 0.3896, 0.0737)  6 Te 3.14-3.22
Th (0.7493, 0.6104, 0.9263)  6 Te 3.14-3.22
Th (0.7493, 0.1104, 0.5737)  6 Te 3.14-3.22
Th (0.7506, 0.6120, 0.2340)  6 Te 3.14-3.21
Th (0.7506, 0.1120, 0.2660)  6 Te 3.14-3.21
Te (0.2503, 0.6139, 0.5793)  3 Li 3.01-3.14, 3 Th 3.16-3.17
Te (0.2503, 0.1139, 0.9207)  3 Li 3.01-3.14, 3 Th 3.16-3.17
Te (0.2494, 0.6650, 0.9235)  1 Li 3.03, 5 Th 3.14-3.21
Te (0.2494, 0.1650, 0.5765)  1 Li 3.03, 5 Th 3.14-3.21
Te (0.2506, 0.6368, 0.2497)  2 Li 2.96-3.05, 4 Th 3.14-3.22
Te (0.2506, 0.1368, 0.2503)  2 Li 2.96-3.05, 4 Th 3.14-3.22
Te (0.7494, 0.8632, 0.7497)  2 Li 2.96-3.05, 4 Th 3.14-3.22
Te (0.7494, 0.3632, 0.7503)  2 Li 2.96-3.05, 4 Th 3.14-3.22
Te (0.7506, 0.8350, 0.4235)  1 Li 3.03, 5 Th 3.14-3.21
Te (0.7506, 0.3350, 0.0765)  1 Li 3.03, 5 Th 3.14-3.21
Te (0.7497, 0.8861, 0.0793)  3 Li 3.01-3.14, 3 Th 3.16-3.17
Te (0.7497, 0.3861, 0.4207)  3 Li 3.01-3.14, 3 Th 3.16-3.17

---

Compound: Sm2HoTm8
Source: the Alexandria database
Functional: PBE-GGA
Structure: optimized geometry

Results
- Crystal system: monoclinic
- Formation energy from the elements: 0.1644 eV/atom
- Distance to the lowest polymorph of the same formula: 0.00 kJ/mol of atoms
- Total energy: -48.0 eV per formula unit

Cell: 5.8158 8.9812 9.1398 Å, 60.57 74.25 56.46°
Last column: nearest neighbours and their distance in Å.
Sites, in units of the cell vectors:
Sm (0.0000, 0.3071, 0.3858)  8 Tm 3.32-3.46
Sm (0.0000, 0.6929, 0.6142)  8 Tm 3.32-3.46
Ho (0.5000, 0.0000, 0.0000)  4 Tm 3.29-3.38
Tm (0.8236, 0.0974, 0.2345)  4 Tm 3.18-3.55, 2 Sm 3.42-3.46
Tm (0.8236, 0.3319, 0.7655)  4 Tm 3.18-3.55, 2 Sm 3.42-3.46
Tm (0.2952, 0.4327, 0.0000)  4 Tm 2.94-3.21
Tm (0.5000, 0.7932, 0.4136)  1 Ho 3.29, 2 Sm 3.32, 6 Tm 3.55-3.65
Tm (0.5000, 0.2068, 0.5864)  1 Ho 3.29, 2 Sm 3.32, 6 Tm 3.55-3.65
Tm (0.7048, 0.5673, 0.0000)  4 Tm 2.94-3.21
Tm (0.1764, 0.6681, 0.2345)  4 Tm 3.18-3.55, 2 Sm 3.42-3.46
Tm (0.1764, 0.9026, 0.7655)  4 Tm 3.18-3.55, 2 Sm 3.42-3.46

---

Compound: CrFe3
Source: the Alexandria database
Functional: PBE-GGA
Structure: optimized geometry

Results
- Crystal system: trigonal
- Formation energy from the elements: 0.0651 eV/atom
- Total energy: -34.8 eV per formula unit

Cell: 2.4649 4.6966 4.6966 Å, 117.01 79.92 79.92°
Last column: nearest neighbours and their distance in Å.
Sites, in units of the cell vectors:
Cr (0.0000, 0.0000, 0.0000)  6 Fe 2.45, 2 Cr 2.46
Fe (0.5000, 0.0000, 0.5000)  6 Fe 2.45-2.46, 2 Cr 2.45
Fe (0.0000, 0.5000, 0.5000)  2 Cr 2.45, 6 Fe 2.45-2.46
Fe (0.5000, 0.5000, 0.0000)  6 Fe 2.45-2.46, 2 Cr 2.45

---

Compound: ZrBe2Pt2
Source: the Alexandria database
Functional: PBE-GGA
Structure: optimized geometry

Results
- Crystal system: tetragonal
- Formation energy from the elements: -0.7300 eV/atom
- Distance to the lowest polymorph of the same formula: 4.02 kJ/mol of atoms
- Total energy: -31.7 eV per formula unit

Cell: 7.0755 7.0755 2.7495 Å, 90.00 90.00 90.00°
Last column: nearest neighbours and their distance in Å.
Sites, in units of the cell vectors:
Be (0.3852, 0.8852, 0.0000)  1 Be 2.30, 6 Pt 2.50-2.52
Be (0.8852, 0.6148, 0.0000)  1 Be 2.30, 6 Pt 2.50-2.52
Be (0.6148, 0.1148, 0.0000)  1 Be 2.30, 6 Pt 2.50-2.52
Be (0.1148, 0.3852, 0.0000)  1 Be 2.30, 6 Pt 2.50-2.52
Zr (0.0000, 0.0000, 0.0000)  2 Zr 2.75, 4 Be 2.84, 8 Pt 2.95
Zr (0.5000, 0.5000, 0.0000)  2 Zr 2.75, 4 Be 2.84, 8 Pt 2.95
Pt (0.1744, 0.6744, 0.5000)  6 Be 2.50-2.52, 2 Pt 2.75
Pt (0.6744, 0.8256, 0.5000)  6 Be 2.50-2.52, 2 Pt 2.75
Pt (0.8256, 0.3256, 0.5000)  6 Be 2.50-2.52, 2 Pt 2.75
Pt (0.3256, 0.1744, 0.5000)  6 Be 2.50-2.52, 2 Pt 2.75

---

Compound: Zn2Ru2O
Source: the Alexandria database
Functional: PBE-GGA
Structure: optimized geometry

Results
- Crystal system: tetragonal
- Uncorrected formation energy: 0.7017 eV per atom
- Distance to the lowest polymorph of the same formula: 66.51 kJ/mol of atoms
- Total energy: -22.5 eV per formula unit

Cell: 3.2782 3.2782 7.0486 Å, 76.55 76.55 90.00°
Last column: nearest neighbours and their distance in Å.
Sites, in units of the cell vectors:
Ru (0.4108, 0.4108, 0.1784)  1 Ru 2.38, 4 O 2.60
Ru (0.5892, 0.5892, 0.8216)  1 Ru 2.38, 4 O 2.60
Zn (0.7500, 0.2500, 0.5000)  4 Zn 2.32
Zn (0.2500, 0.7500, 0.5000)  4 Zn 2.32
O (0.0000, 0.0000, 0.0000)  8 Ru 2.60

---

Compound: Ac3Dy2Cd3
Source: the Alexandria database
Functional: PBE-GGA
Structure: optimized geometry

Results
- Crystal system: orthorhombic
- Formation energy from the elements: -0.2084 eV/atom
- Total energy: -25.9 eV per formula unit

Cell: 3.9435 5.7567 12.2117 Å, 103.63 99.29 90.00°
Last column: nearest neighbours and their distance in Å.
Sites, in units of the cell vectors:
Ac (0.3747, 0.3747, 0.7494)  6 Cd 3.49-3.53, 4 Dy 3.81-3.86
Ac (0.6253, 0.6253, 0.2506)  6 Cd 3.49-3.53, 4 Dy 3.81-3.86
Ac (0.5000, 0.0000, 0.0000)  8 Cd 3.49-3.59
Dy (0.2648, 0.7648, 0.5296)  2 Cd 3.19, 4 Dy 3.56
Dy (0.7352, 0.2352, 0.4704)  2 Cd 3.19, 4 Dy 3.56
Cd (0.8719, 0.8719, 0.7438)  2 Dy 3.19, 4 Ac 3.49
Cd (0.0000, 0.5000, 0.0000)  8 Ac 3.49-3.53
Cd (0.1281, 0.1281, 0.2562)  2 Dy 3.19, 4 Ac 3.49